No. 1
Entry from the Alexandria database: crystalline LiPuCu2I8 at its relaxed geometry (GGA-PBE).

Results
Crystal system: tetragonal
Spin magnetization (μB per formula unit): 3.6
ΔE_f (raw) (meV per atom): -509
Raw total energy (eV/atom): -3.579

a b c (Å): 9.9673 9.9673 9.1441
angles (deg): 90.00 90.00 90.00
Space group I-4m2 (No. 119)
One atom of each set of equivalent atoms:
Li (0.0000, 0.0000, 0.0000)
Pu (0.0000, 0.5000, 0.2500)
Cu (0.0000, 0.0000, 0.5000)
Cu (0.0000, 0.5000, 0.7500)
I (0.0000, 0.1930, 0.3121)
I (0.0000, 0.3148, 0.9483)


No. 2
Entry from the Alexandria database: crystalline Dy2Zn5Ga3 at its relaxed geometry (GGA-PBE).

Results
Calculated formation energy (kJ/mol of atoms): -39
Crystal system: orthorhombic
Spin magnetization (μB per formula unit): 0.0
Raw total energy (eV/atom): -2.873
Energy above the lowest structure with this stoichiometry (meV per atom): 0

a b c (Å): 10.6568 11.6791 5.8751
angles (deg): 90.00 90.00 90.00
Space group Ibam (No. 72)
One atom of each set of equivalent atoms:
Dy (0.2472, 0.1244, 0.0000)
Zn (0.0000, 0.2539, 0.2500)
Zn (0.0000, 0.5000, 0.2500)
Zn (0.1338, 0.1278, 0.5000)
Ga (0.0000, 0.0000, 0.2500)
Ga (0.1412, 0.3749, 0.0000)


No. 3
Entry from the Alexandria database: crystalline Ba3SiBr at its relaxed geometry (GGA-PBE).

Results
Crystal system: cubic
Spin magnetization (μB per formula unit): 0.0
ΔE_f (raw) (meV per atom): -492
Raw total energy (eV/atom): -3.065
Energy above the lowest structure with this stoichiometry (meV per atom): 304

a b c (Å): 6.4340 6.4340 6.4340
angles (deg): 90.00 90.00 90.00
Space group Pm-3m (No. 221)
One atom of each set of equivalent atoms:
Ba (0.0000, 0.0000, 0.5000)
Si (0.0000, 0.0000, 0.0000)
Br (0.5000, 0.5000, 0.5000)


No. 4
Entry from the Alexandria database: crystalline NdPaRu2 at its relaxed geometry (GGA-PBE).

Results
Calculated formation energy (kJ/mol of atoms): -40
Crystal system: monoclinic
Spin magnetization (μB per formula unit): 0.0
Raw total energy (eV/atom): -8.617

a b c (Å): 5.9418 4.4624 7.1586
angles (deg): 90.00 112.13 90.00
Space group P2_1/m (No. 11)
One atom of each set of equivalent atoms:
Nd (0.1728, 0.2500, 0.4075)
Pa (0.3555, 0.7500, 0.1078)
Ru (0.1243, 0.2500, 0.9190)
Ru (0.3979, 0.7500, 0.7386)


No. 5
Entry from the Alexandria database: crystalline Na3Ce2CuS6 at its relaxed geometry (GGA-PBE).

Results
Crystal system: monoclinic
Spin magnetization (μB per formula unit): 0.0
ΔE_f (raw) (meV per atom): -1346
Raw total energy (eV/atom): -5.070

a b c (Å): 6.8292 11.8491 7.0196
angles (deg): 90.00 108.80 90.00
Space group C2/m (No. 12)
One atom of each set of equivalent atoms:
Na (0.0000, 0.0000, 0.0000)
Na (0.0000, 0.3361, 0.0000)
Ce (0.0000, 0.1668, 0.5000)
Cu (0.0000, 0.5000, 0.5000)
S (0.2394, 0.3353, 0.7250)
S (0.2468, 0.0000, 0.7227)


No. 6
Entry from the Alexandria database: crystalline NpGaS at its relaxed geometry (GGA-PBE).

Results
Crystal system: hexagonal
Spin magnetization (μB per formula unit): 4.5
ΔE_f (raw) (meV per atom): -352
Raw total energy (eV/atom): -7.050

a b c (Å): 3.5158 3.5158 11.9268
angles (deg): 90.00 90.00 120.00
Space group P-6m2 (No. 187)
One atom of each set of equivalent atoms:
Np (0.0000, 0.0000, 0.0000)
Np (0.3333, 0.6667, 0.5000)
Ga (0.0000, 0.0000, 0.3022)
S (0.3333, 0.6667, 0.1579)